Computed, not measured: crystalline CsBaNa2Tl at its relaxed geometry at the PBE-GGA level of DFT.

Its energy of formation from the pure elements is 0.92 kJ per mole of atoms. The calculation puts the total moment at 0.0000 μB/atom.

The structure belongs to space group P4/mmm (No. 123); the cell edges are 6.434, 6.434 and 6.658 Å and the angles 90.00°, 90.00° and 90.00°. Symmetry generates all atoms from Cs at (0.000, 0.000, 0.000), Ba at (0.500, 0.500, 0.000), Na at (0.000, 0.500, 0.500) and Tl at (0.500, 0.500, 0.500).

---

Computed, not measured: crystalline CeTmSb2 at its relaxed geometry at the PBE-GGA level of DFT.

As for the energy above the most stable polymorph in this dataset: 0.0 kJ/mol of atoms. The calculation puts the total moment at 0.1985 μB/atom.

The structure belongs to space group R-3m (No. 166, hexagonal axes); the cell edges are 4.4231, 4.4231 and 21.6012 Å and the angles 90.00°, 90.00° and 120.00°. Symmetry generates all atoms from Ce at (0.0000, 0.0000, 0.0000), Tm at (0.0000, 0.0000, 0.5000) and Sb at (0.0000, 0.0000, 0.2467).

---

Computed, not measured: crystalline Sc2AlAg2 at its relaxed geometry at the PBE-GGA level of DFT.

As for the energy above the most stable polymorph in this dataset: 2.9 kJ/mol of atoms. Its energy of formation from the pure elements is -24.40 kJ per mole of atoms. The calculation puts the total moment at 0.0000 μB/atom.

The structure belongs to space group P4/mbm (No. 127); the cell edges are 7.367, 7.367 and 3.702 Å and the angles 90.00°, 90.00° and 90.00°. Symmetry generates all atoms from Sc at (0.168, 0.332, 0.000), Al at (0.000, 0.000, 0.500) and Ag at (0.134, 0.634, 0.500).

---

Computed, not measured: crystalline Sr3Ta2Ti6O21 at its relaxed geometry at the PBE-GGA level of DFT.

The total energy comes out at -8.5257 eV per atom. The calculation puts the total moment at 0.0690 μB/atom.

The structure belongs to space group P6_3/mcm (No. 193); the cell edges are 8.9778, 8.9778 and 11.6663 Å and the angles 90.00°, 90.00° and 120.00°. Symmetry generates all atoms from Sr at (0.0000, 0.4054, 0.2500), Ta at (0.3333, 0.6667, 0.0000), Ti at (0.0000, 0.2391, 0.5957), O at (0.0000, 0.1975, 0.7500), O at (0.0000, 0.2091, 0.0754) and O at (0.1642, 0.4845, 0.6043).